VASP calculation (PBE-GGA) on a relaxed BaSrO2F crystal.

It has space group P4/mmm (No. 123), with a = 4.6592 Å, b = 4.6592 Å, c = 4.6167 Å, α = 90.00°, β = 90.00° and γ = 90.00°. The inequivalent atoms are Ba at (0.0000, 0.0000, 0.0000), Sr at (0.5000, 0.5000, 0.5000), O at (0.0000, 0.5000, 0.5000) and F at (0.5000, 0.5000, 0.0000).

Its uncorrected formation energy is -2.41 eV/atom. The crystal system is tetragonal. The magnetic moment is 1.0 μB per formula unit.